[1]
DFT (PBE) results for a geometry-optimized ErTh2Ga6 structure.

Values from the calculation:
- density of states at the Fermi level (states/eV/cell) = 2.02
- E_form (meV/atom) = -625.0
- density (g/cm³) = 8.85
- calculated volume (Å³/f.u.) = 197

Cell and atoms, written as CIF:
```
data_ErTh2Ga6
_cell_length_a 7.3666
_cell_length_b 7.3666
_cell_length_c 4.1913
_cell_angle_alpha 90.00
_cell_angle_beta 90.00
_cell_angle_gamma 120.00
_symmetry_space_group_name_H-M 'P 6/m m m'
_symmetry_Int_Tables_number 191
_symmetry_space_group_name_Hall '-P 6 2'
loop_
_atom_site_label
_atom_site_type_symbol
_atom_site_fract_x
_atom_site_fract_y
_atom_site_fract_z
_atom_site_occupancy
Er1 Er 0.0000 0.0000 0.0000 1
Th1 Th 0.3333 0.6667 0.0000 1
Ga1 Ga 0.0000 0.3314 0.5000 1
```


[2]
DFT (PBE) results for a geometry-optimized CaMgSb2 structure.

Values from the calculation:
- density of states at the Fermi level (states/eV/cell) = 4.53
- uncorrected formation energy (eV per atom) = -0.465
- density (g/cm³) = 4.85
- calculated volume (Å³/f.u.) = 105

Cell and atoms, written as CIF:
```
data_CaMgSb2
_cell_length_a 4.4068
_cell_length_b 4.4068
_cell_length_c 10.8517
_cell_angle_alpha 90.00
_cell_angle_beta 90.00
_cell_angle_gamma 90.00
_symmetry_space_group_name_H-M 'I -4 m 2'
_symmetry_Int_Tables_number 119
_symmetry_space_group_name_Hall 'I -4 -2'
loop_
_atom_site_label
_atom_site_type_symbol
_atom_site_fract_x
_atom_site_fract_y
_atom_site_fract_z
_atom_site_occupancy
Ca1 Ca 0.0000 0.0000 0.0000 1
Mg1 Mg 0.0000 0.5000 0.2500 1
Sb1 Sb 0.0000 0.0000 0.5000 1
Sb2 Sb 0.0000 0.5000 0.7500 1
```


[3]
DFT (PBE) results for a geometry-optimized CePm3Dy6Tm2 structure.

Values from the calculation:
- density of states at the Fermi level (states/eV/cell) = 37.48
- E_form (meV/atom) = 35.2
- density (g/cm³) = 8.19
- calculated volume (Å³/f.u.) = 383

Cell and atoms, written as CIF:
```
data_CePm3Dy6Tm2
_cell_length_a 6.1686
_cell_length_b 10.6804
_cell_length_c 11.7945
_cell_angle_alpha 90.00
_cell_angle_beta 100.03
_cell_angle_gamma 90.00
_symmetry_space_group_name_H-M 'C 1 2/m 1'
_symmetry_Int_Tables_number 12
loop_
_symmetry_equiv_pos_as_xyz
'x,y,z'
'-x,-y,-z'
'-x,y,-z'
'x,-y,z'
'x+1/2,y+1/2,z'
'-x+1/2,-y+1/2,-z'
'-x+1/2,y+1/2,-z'
'x+1/2,-y+1/2,z'
loop_
_atom_site_label
_atom_site_type_symbol
_atom_site_fract_x
_atom_site_fract_y
_atom_site_fract_z
_atom_site_occupancy
Ce1 Ce 0.0000 0.0000 0.0000 1
Pm1 Pm 0.0000 0.1675 0.5000 1
Pm2 Pm 0.0000 0.5000 0.5000 1
Dy1 Dy 0.2482 0.1657 0.2463 1
Dy2 Dy 0.2492 0.0000 0.7535 1
Tm1 Tm 0.0000 0.3333 0.0000 1
```


[4]
DFT (PBE) results for a geometry-optimized Pm4TmTh structure.

Values from the calculation:
- density of states at the Fermi level (states/eV/cell) = 17.57
- E_form (meV/atom) = 24.2
- energy relative to the lowest polymorph listed for this composition (eV per atom) = 0.0000
- density (g/cm³) = 8.15
- calculated volume (Å³/f.u.) = 200

Cell and atoms, written as CIF:
```
data_Pm4TmTh
_cell_length_a 15.7195
_cell_length_b 3.6365
_cell_length_c 7.1761
_cell_angle_alpha 90.00
_cell_angle_beta 103.11
_cell_angle_gamma 90.00
_symmetry_space_group_name_H-M 'C 1 2/m 1'
_symmetry_Int_Tables_number 12
loop_
_symmetry_equiv_pos_as_xyz
'x,y,z'
'-x,-y,-z'
'-x,y,-z'
'x,-y,z'
'x+1/2,y+1/2,z'
'-x+1/2,-y+1/2,-z'
'-x+1/2,y+1/2,-z'
'x+1/2,-y+1/2,z'
loop_
_atom_site_label
_atom_site_type_symbol
_atom_site_fract_x
_atom_site_fract_y
_atom_site_fract_z
_atom_site_occupancy
Pm1 Pm 0.1611 0.0000 0.3284 1
Pm2 Pm 0.1608 0.0000 0.8342 1
Tm1 Tm 0.0000 0.5000 0.5000 1
Th1 Th 0.0000 0.5000 0.0000 1
```


[5]
DFT (PBE) results for a geometry-optimized ErAsS3 structure.

Values from the calculation:
- uncorrected formation energy (eV per atom) = -0.982
- density (g/cm³) = 4.51
- calculated volume (Å³/f.u.) = 125

Cell and atoms, written as CIF:
```
data_ErAsS3
_cell_length_a 6.6181
_cell_length_b 6.6181
_cell_length_c 19.7244
_cell_angle_alpha 90.00
_cell_angle_beta 90.00
_cell_angle_gamma 120.00
_symmetry_space_group_name_H-M 'R -3'
_symmetry_Int_Tables_number 148
_symmetry_space_group_name_Hall '-R 3'
loop_
_atom_site_label
_atom_site_type_symbol
_atom_site_fract_x
_atom_site_fract_y
_atom_site_fract_z
_atom_site_occupancy
Er1 Er 0.0000 0.0000 0.1589 1
As1 As 0.0000 0.0000 0.3787 1
S1 S 0.0015 0.6527 0.9114 1
```


[6]
DFT (PBE) results for a geometry-optimized LiEuHgBi structure.

Values from the calculation:
- density of states at the Fermi level (states/eV/cell) = 35.74
- E_form (meV/atom) = -610.5
- density (g/cm³) = 8.62
- calculated volume (Å³/f.u.) = 110

Cell and atoms, written as CIF:
```
data_LiEuHgBi
_cell_length_a 7.5948
_cell_length_b 7.5948
_cell_length_c 7.5948
_cell_angle_alpha 90.00
_cell_angle_beta 90.00
_cell_angle_gamma 90.00
_symmetry_space_group_name_H-M 'F -4 3 m'
_symmetry_Int_Tables_number 216
_symmetry_space_group_name_Hall 'F -4 2 3'
loop_
_atom_site_label
_atom_site_type_symbol
_atom_site_fract_x
_atom_site_fract_y
_atom_site_fract_z
_atom_site_occupancy
Li1 Li 0.0000 0.0000 0.0000 1
Eu1 Eu 0.0000 0.0000 0.5000 1
Hg1 Hg 0.2500 0.2500 0.2500 1
Bi1 Bi 0.2500 0.2500 0.7500 1
```